A geometry-optimized Nd2FeSbO7 structure. Source: Alexandria via LeMat-Bulk, functional GGA+U.

## Properties
symmetry = No. 74
energy = -161.189 eV per cell
DOS at the Fermi energy = 0.00 states/eV per cell
calculated density = 6.5 g cm⁻³

Unit cell a=7.459 b=7.459 c=7.459 alpha=120.30 beta=119.50 gamma=90.17
Site moments in Bohr magnetons follow the coordinates.
Fractional coordinates of all 22 atoms:
1 Sb 0.500 0.500 0.000  0.01
2 Sb 0.000 0.500 0.500  0.01
3 O 0.376 0.126 0.250  0.00
4 O 0.665 0.825 0.239  0.07
5 O 0.326 0.576 0.750  0.01
6 O 0.674 0.424 0.250  0.01
7 O 0.335 0.175 0.761  0.07
8 O 0.085 0.825 0.660  0.07
9 O 0.335 0.575 0.160  0.07
10 O 0.085 0.425 0.261  0.07
11 O 0.915 0.175 0.340  0.07
12 O 0.915 0.575 0.739  0.07
13 O 0.916 0.166 0.750  0.20
14 O 0.665 0.425 0.840  0.07
15 O 0.084 0.834 0.250  0.20
16 O 0.624 0.874 0.750  0.00
17 Nd 0.000 0.000 0.000  0.01
18 Nd 0.500 0.000 0.500  0.01
19 Nd 0.500 0.500 0.500  0.00
20 Nd 0.500 0.000 0.000  0.00
21 Fe 0.000 0.000 0.500  4.37
22 Fe 0.000 0.500 0.000  4.37